[1]
A geometry-optimized K3Sc3TiS8 structure. Source: Alexandria, functional PBE-GGA.

Results
**Spin magnetization**: 0.00 μB/f.u.
**VASP energy**: -88.21 eV/cell
**Calculated density**: 2.56 g cm⁻³

a = 8.618 Å, b = 8.618 Å, c = 8.618 Å
α = 51.38°, β = 51.38°, γ = 51.38°
Positions (direct):
K (0.000, 0.500, 0.500)
K (0.500, 0.000, 0.500)
K (0.500, 0.500, 0.000)
Sc (0.000, 0.000, 0.500)
Sc (0.000, 0.500, 0.000)
Sc (0.500, 0.000, 0.000)
Ti (0.500, 0.500, 0.500)
S (0.231, 0.231, 0.231)
S (0.242, 0.722, 0.722)
S (0.278, 0.278, 0.758)
S (0.278, 0.758, 0.278)
S (0.722, 0.242, 0.722)
S (0.722, 0.722, 0.242)
S (0.758, 0.278, 0.278)
S (0.769, 0.769, 0.769)


[2]
A geometry-optimized HgIr2Br structure. Source: Alexandria, functional PBE-GGA.

Results
**Spin magnetization**: 0.15 μB/f.u.
**ΔE to the lowest computed polymorph**: 363 meV/atom
**Calculated density**: 12.82 g cm⁻³

a = 6.769 Å, b = 6.769 Å, c = 6.769 Å
α = 154.86°, β = 139.01°, γ = 48.69°
Positions (direct):
Hg (0.000, 0.000, 0.000)
Ir (0.381, 0.881, 0.500)
Ir (0.553, 0.553, 0.000)
Br (0.726, 0.226, 0.500)


[3]
A geometry-optimized NbVNi6 structure. Source: Alexandria, functional PBE-GGA.

Results
**Spin magnetization**: 0.00 μB/f.u.
**ΔE to the lowest computed polymorph**: 0 meV/atom
**ΔE_f**: -0.257 eV per atom
**Calculated density**: 8.67 g cm⁻³

a = 4.177 Å, b = 5.069 Å, c = 4.487 Å
α = 90.00°, β = 90.00°, γ = 90.00°
Positions (direct):
Nb (0.000, 0.000, 0.000)
V (0.500, 0.500, 0.694)
Ni (0.000, 0.257, 0.507)
Ni (0.000, 0.500, 0.010)
Ni (0.000, 0.743, 0.507)
Ni (0.500, 0.000, 0.659)
Ni (0.500, 0.259, 0.186)
Ni (0.500, 0.741, 0.186)


[4]
A geometry-optimized LaDy3H8 structure. Source: Alexandria, functional PBE-GGA.

Results
**Spin magnetization**: 0.00 μB/f.u.
**VASP energy**: -53.87 eV/cell
**Calculated density**: 7.11 g cm⁻³

a = 5.292 Å, b = 5.292 Å, c = 5.292 Å
α = 90.00°, β = 90.00°, γ = 90.00°
Positions (direct):
La (0.000, 0.000, 0.000)
Dy (0.000, 0.500, 0.500)
Dy (0.500, 0.000, 0.500)
Dy (0.500, 0.500, 0.000)
H (0.261, 0.261, 0.261)
H (0.261, 0.261, 0.739)
H (0.261, 0.739, 0.261)
H (0.261, 0.739, 0.739)
H (0.739, 0.261, 0.261)
H (0.739, 0.261, 0.739)
H (0.739, 0.739, 0.261)
H (0.739, 0.739, 0.739)


[5]
A geometry-optimized La2InAu structure. Source: Alexandria, functional PBE-GGA.

Results
**Spin magnetization**: 0.00 μB/f.u.
**ΔE_f**: -0.596 eV per atom
**Calculated density**: 8.68 g cm⁻³

a = 3.834 Å, b = 5.218 Å, c = 5.641 Å
α = 90.00°, β = 90.00°, γ = 90.00°
Positions (direct):
La (0.000, 0.000, 0.000)
La (0.000, 0.500, 0.406)
In (0.500, 0.000, 0.521)
Au (0.500, 0.500, 0.877)


[6]
A geometry-optimized Ca3NbNi structure. Source: Alexandria, functional PBE-GGA.

Results
**Spin magnetization**: 0.00 μB/f.u.
**ΔE to the lowest computed polymorph**: 695 meV/atom
**ΔE_f**: 1.330 eV per atom
**Calculated density**: 2.83 g cm⁻³

a = 5.420 Å, b = 5.420 Å, c = 5.420 Å
α = 90.00°, β = 90.00°, γ = 90.00°
Positions (direct):
Ca (0.000, 0.000, 0.500)
Ca (0.000, 0.500, 0.000)
Ca (0.500, 0.000, 0.000)
Nb (0.000, 0.000, 0.000)
Ni (0.500, 0.500, 0.500)


- Which value of calculated density does entry 4 give?
  7.11 g cm⁻³


- What is the formula in the sixth record?
  Ca3NbNi


- Which value of spin magnetization does entry 4 give?
  0.00 μB/f.u.


- Which value of spin magnetization does entry 5 give?
  0.00 μB/f.u.